Entry 1:
Below is As3ClO after structural relaxation, with properties calculated at the PBEsol level.

Properties
V: 87.4 Å³ per cell

a b c (Å): 4.437 4.437 4.437
angles (deg): 90.00 90.00 90.00
Fractional positions:
As: 0.500 0.000 0.000
Cl: 0.500 0.500 0.500
As: 0.000 0.500 0.000
As: 0.000 0.000 0.500
O: 0.000 0.000 0.000

Entry 2:
Below is AsP2ClO after structural relaxation, with properties calculated at the PBEsol level.

Properties
V: 81.8 Å³ per cell

a b c (Å): 3.840 3.840 5.547
angles (deg): 90.00 90.00 90.00
Fractional positions:
P: 0.000 0.500 0.000
P: 0.500 0.000 0.000
As: 0.500 0.500 0.500
O: 0.000 0.000 0.000
Cl: 0.000 0.000 0.500

Number 1: Fermi-level density of states 0.7325 states/eV per atom, formation energy from raw total energies 478.6 meV/atom, size of the total moment 0.000 μB per formula unit. Number 2: Fermi-level density of states 0.5644 states/eV per atom, formation energy from raw total energies 446.4 meV/atom, size of the total moment 0.000 μB per formula unit.